No. 1
The following is a DFT calculation (GGA-PBE) of a geometry-optimized Rb8Bi2Sb structure.

E_tot in eV/atom: -2.095
Raw formation energy in meV per atom: -311

Structure (CIF):
```
data_Rb8Bi2Sb
_space_group_name_H-M_alt 'C 1 2/m 1'
_space_group_IT_number 12
_cell_length_a 21.724
_cell_length_b 6.304
_cell_length_c 8.957
_cell_angle_alpha 90.00
_cell_angle_beta 111.96
_cell_angle_gamma 90.00
loop_
_space_group_symop_operation_xyz
'x,y,z'
'-x,-y,-z'
'-x,y,-z'
'x,-y,z'
'x+1/2,y+1/2,z'
'-x+1/2,-y+1/2,-z'
'-x+1/2,y+1/2,-z'
'x+1/2,-y+1/2,z'
loop_
_atom_site_label
_atom_site_type_symbol
_atom_site_fract_x
_atom_site_fract_y
_atom_site_fract_z
Rb1 Rb 0.019 0.000 0.278
Rb2 Rb 0.107 0.500 0.930
Rb3 Rb 0.162 0.500 0.438
Rb4 Rb 0.200 0.000 0.777
Bi1 Bi 0.177 0.000 0.177
Sb1 Sb 0.000 0.500 0.500
```


No. 2
The following is a DFT calculation (GGA-PBE) of a geometry-optimized Rb2Bi2Sb structure.

E_tot in eV/atom: -3.013
Raw formation energy in meV per atom: -249

Structure (CIF):
```
data_Rb2Bi2Sb
_space_group_name_H-M_alt 'P 4/m b m'
_space_group_IT_number 127
_space_group_name_Hall '-P 4 2ab'
_cell_length_a 8.285
_cell_length_b 8.285
_cell_length_c 5.948
_cell_angle_alpha 90.00
_cell_angle_beta 90.00
_cell_angle_gamma 90.00
loop_
_atom_site_label
_atom_site_type_symbol
_atom_site_fract_x
_atom_site_fract_y
_atom_site_fract_z
Rb1 Rb 0.177 0.323 0.000
Bi1 Bi 0.130 0.630 0.500
Sb1 Sb 0.000 0.000 0.500
```


> Number 2 is which compound?

Rb2Bi2Sb


> What is the E_tot in the first record?

-2.095 eV/atom


> Look up the E_tot of the first one.

-2.095 eV/atom